1.
{"formula": "Be2SbRh", "functional": "SCAN", "state": "PBEsol geometry", "lattice": [[-1.677, -2.150, -0.908], [1.635, -2.267, 2.349], [-2.892, 2.382, 4.313]], "species": ["Be", "Be", "Rh", "Sb"], "fractional_positions": [[0.093, 0.000, 0.069], [0.215, 0.500, 0.303], [0.753, 0.000, 0.380], [0.939, 0.500, 0.748]], "raw_formation_energy_mev_per_atom": -143, "space_group": "No. 6"}

=====

2.
{"formula": "K2LiAlH6", "functional": "SCAN", "state": "PBEsol geometry", "lattice": [[-4.149, -3.287, -1.593], [-3.297, -2.320, 3.782], [-7.965, 5.251, 0.318]], "species": ["H", "H", "H", "H", "H", "H", "H", "H", "H", "H", "H", "H", "Li", "Li", "K", "K", "K", "K", "Al", "Al"], "fractional_positions": [[0.190, 0.732, 0.887], [0.393, 0.393, 0.381], [0.832, 0.393, 0.381], [0.190, 0.190, 0.887], [0.732, 0.190, 0.887], [0.393, 0.832, 0.381], [0.607, 0.168, 0.619], [0.607, 0.607, 0.619], [0.810, 0.268, 0.113], [0.268, 0.810, 0.113], [0.168, 0.607, 0.619], [0.810, 0.810, 0.113], [0.408, 0.408, 0.777], [0.592, 0.592, 0.223], [0.127, 0.127, 0.619], [0.713, 0.713, 0.860], [0.873, 0.873, 0.381], [0.287, 0.287, 0.140], [0.000, 0.000, 0.000], [0.500, 0.500, 0.500]], "energy_ev_per_atom": -5.135, "space_group": "No. 166"}

=====

3.
{"formula": "BiB2H", "functional": "SCAN", "state": "PBEsol geometry", "lattice": [[-2.284, 0.968, -2.746], [-0.766, -3.567, -0.620], [-3.387, 1.625, 5.883]], "species": ["Bi", "Bi", "H", "H", "B", "B", "B", "B"], "fractional_positions": [[0.000, 0.000, 0.000], [0.250, 0.750, 0.500], [0.500, 0.500, 0.000], [0.750, 0.250, 0.500], [0.625, 0.302, 0.750], [0.125, 0.448, 0.750], [0.552, 0.375, 0.250], [0.698, 0.875, 0.250]], "energy_ev_per_atom": -23.011, "space_group": "No. 122"}

=====

| no. | D(E_F) (states/eV per cell) |
| --- | --- |
| 1 | 1.28 |
| 2 | 0.00 |
| 3 | 2.17 |